(1)
Below is BiOsPb2O6 after structural relaxation, with properties calculated at the PBE-GGA level.

Values from the calculation:
DFT total energy: -6.25 eV per atom
M_tot: 0.30 μB/atom
energy relative to the elements, uncorrected: -98.9 kJ per mole of atoms

The structure in CIF format:
```
data_BiOsPb2O6
_cell_length_a 5.844
_cell_length_b 6.445
_cell_length_c 8.492
_cell_angle_alpha 90.00
_cell_angle_beta 90.00
_cell_angle_gamma 90.00
_space_group_name_H-M_alt 'P 1'
_space_group_IT_number 1
_space_group_name_Hall 'P 1'
loop_
_atom_site_label
_atom_site_type_symbol
_atom_site_fract_x
_atom_site_fract_y
_atom_site_fract_z
Pb1 Pb 0.000 0.175 0.292
O1 O 0.500 0.201 0.733
Pb2 Pb 0.500 0.825 0.208
Os1 Os 0.500 0.231 0.500
Bi1 Bi 0.000 0.697 0.500
Os2 Os 0.000 0.769 0.000
O2 O 0.251 0.431 0.500
Bi2 Bi 0.500 0.303 0.000
O3 O 0.244 0.018 0.500
Pb3 Pb 0.000 0.175 0.708
O4 O 0.500 0.201 0.267
O5 O 0.256 0.982 0.000
O6 O 0.749 0.431 0.500
Pb4 Pb 0.500 0.825 0.792
O7 O 0.756 0.018 0.500
O8 O 0.000 0.799 0.233
O9 O 0.249 0.569 0.000
O10 O 0.751 0.569 0.000
O11 O 0.744 0.982 0.000
O12 O 0.000 0.799 0.767
```

=====

(2)
Below is BiOsPbO6 after structural relaxation, with properties calculated at the PBE-GGA level.

Values from the calculation:
DFT total energy: -6.47 eV per atom
M_tot: 0.11 μB/atom
energy relative to the elements, uncorrected: -104.0 kJ per mole of atoms

The structure in CIF format:
```
data_BiOsPbO6
_cell_length_a 5.696
_cell_length_b 5.696
_cell_length_c 10.010
_cell_angle_alpha 90.00
_cell_angle_beta 90.00
_cell_angle_gamma 120.00
_space_group_name_H-M_alt 'P 1'
_space_group_IT_number 1
_space_group_name_Hall 'P 1'
loop_
_atom_site_label
_atom_site_type_symbol
_atom_site_fract_x
_atom_site_fract_y
_atom_site_fract_z
Bi1 Bi 0.333 0.667 0.250
O1 O 0.951 0.606 0.359
O2 O 0.049 0.654 0.859
Os1 Os 0.333 0.667 0.750
Bi2 Bi 0.667 0.333 0.750
O3 O 0.654 0.048 0.359
O4 O 0.346 0.394 0.859
O5 O 0.049 0.394 0.641
O6 O 0.346 0.952 0.641
O7 O 0.394 0.048 0.141
O8 O 0.394 0.346 0.359
Pb1 Pb 0.000 0.000 0.500
O9 O 0.606 0.654 0.641
Os2 Os 0.667 0.333 0.250
O10 O 0.654 0.606 0.141
O11 O 0.951 0.346 0.141
O12 O 0.606 0.952 0.859
Pb2 Pb 0.000 0.000 0.000
```

=====

(3)
Below is PmBi2OsO8 after structural relaxation, with properties calculated at the PBE-GGA level.

Values from the calculation:
DFT total energy: -6.84 eV per atom
M_tot: 0.00 μB/atom
energy relative to the elements, uncorrected: -149.9 kJ per mole of atoms

The structure in CIF format:
```
data_PmBi2OsO8
_cell_length_a 5.255
_cell_length_b 5.264
_cell_length_c 6.813
_cell_angle_alpha 90.00
_cell_angle_beta 90.00
_cell_angle_gamma 88.45
_space_group_name_H-M_alt 'P 1'
_space_group_IT_number 1
_space_group_name_Hall 'P 1'
loop_
_atom_site_label
_atom_site_type_symbol
_atom_site_fract_x
_atom_site_fract_y
_atom_site_fract_z
O1 O 0.820 0.182 0.214
O2 O 0.316 0.314 0.500
Os1 Os 0.000 0.000 0.000
Bi1 Bi 0.500 0.500 0.248
O3 O 0.820 0.182 0.786
O4 O 0.244 0.240 0.000
Bi2 Bi 0.500 0.500 0.752
Pm1 Pm 0.000 0.000 0.500
O5 O 0.684 0.686 0.500
O6 O 0.180 0.818 0.786
O7 O 0.756 0.760 0.000
O8 O 0.180 0.818 0.214
```

=====

(4)
Below is Pr2BiOsO8 after structural relaxation, with properties calculated at the PBE-GGA level.

Values from the calculation:
DFT total energy: -7.32 eV per atom
M_tot: 0.05 μB/atom
energy relative to the elements, uncorrected: -188.7 kJ per mole of atoms

The structure in CIF format:
```
data_Pr2BiOsO8
_cell_length_a 5.213
_cell_length_b 5.211
_cell_length_c 7.032
_cell_angle_alpha 90.00
_cell_angle_beta 89.99
_cell_angle_gamma 90.52
_space_group_name_H-M_alt 'P 1'
_space_group_IT_number 1
_space_group_name_Hall 'P 1'
loop_
_atom_site_label
_atom_site_type_symbol
_atom_site_fract_x
_atom_site_fract_y
_atom_site_fract_z
O1 O 0.175 0.824 0.205
Bi1 Bi 0.000 0.000 0.500
Pr1 Pr 0.500 0.500 0.752
O2 O 0.744 0.744 0.000
O3 O 0.175 0.824 0.795
O4 O 0.825 0.176 0.795
O5 O 0.694 0.694 0.500
O6 O 0.256 0.256 0.000
Os1 Os 0.000 0.000 0.000
Pr2 Pr 0.500 0.500 0.248
O7 O 0.825 0.176 0.205
O8 O 0.306 0.306 0.500
```

=====

(5)
Below is Bi2OsPtO8 after structural relaxation, with properties calculated at the PBE-GGA level.

Values from the calculation:
DFT total energy: -6.28 eV per atom
M_tot: 0.00 μB/atom
energy relative to the elements, uncorrected: -86.1 kJ per mole of atoms

The structure in CIF format:
```
data_Bi2OsPtO8
_cell_length_a 5.013
_cell_length_b 5.013
_cell_length_c 6.661
_cell_angle_alpha 90.00
_cell_angle_beta 90.00
_cell_angle_gamma 90.39
_space_group_name_H-M_alt 'P 1'
_space_group_IT_number 1
_space_group_name_Hall 'P 1'
loop_
_atom_site_label
_atom_site_type_symbol
_atom_site_fract_x
_atom_site_fract_y
_atom_site_fract_z
Pt1 Pt 0.000 0.000 0.500
O1 O 0.143 0.807 0.756
O2 O 0.297 0.214 0.000
Bi1 Bi 0.500 0.500 0.253
O3 O 0.313 0.269 0.500
Os1 Os 0.000 0.000 0.000
O4 O 0.687 0.731 0.500
O5 O 0.703 0.786 0.000
O6 O 0.858 0.194 0.756
O7 O 0.142 0.806 0.244
O8 O 0.857 0.193 0.244
Bi2 Bi 0.500 0.500 0.747
```

=====

(6)
Below is RbBiOs2O8 after structural relaxation, with properties calculated at the PBE-GGA level.

Values from the calculation:
DFT total energy: -6.59 eV per atom
M_tot: 0.31 μB/atom
energy relative to the elements, uncorrected: -97.7 kJ per mole of atoms

The structure in CIF format:
```
data_RbBiOs2O8
_cell_length_a 5.508
_cell_length_b 5.508
_cell_length_c 9.645
_cell_angle_alpha 73.41
_cell_angle_beta 73.41
_cell_angle_gamma 60.00
_space_group_name_H-M_alt 'P 1'
_space_group_IT_number 1
_space_group_name_Hall 'P 1'
loop_
_atom_site_label
_atom_site_type_symbol
_atom_site_fract_x
_atom_site_fract_y
_atom_site_fract_z
Os1 Os 0.753 0.753 0.741
Rb1 Rb 0.000 0.000 0.000
O1 O 0.094 0.758 0.665
O2 O 0.688 0.688 0.935
O3 O 0.758 0.482 0.665
Os2 Os 0.247 0.247 0.259
O4 O 0.242 0.906 0.335
O5 O 0.518 0.242 0.335
Bi1 Bi 0.500 0.500 0.500
O6 O 0.482 0.094 0.665
O7 O 0.906 0.518 0.335
O8 O 0.312 0.312 0.065
```

=====

(7)
Below is RbBi2OsO8 after structural relaxation, with properties calculated at the PBE-GGA level.

Values from the calculation:
DFT total energy: -5.97 eV per atom
M_tot: 0.06 μB/atom
energy relative to the elements, uncorrected: -96.5 kJ per mole of atoms

The structure in CIF format:
```
data_RbBi2OsO8
_cell_length_a 5.620
_cell_length_b 5.113
_cell_length_c 7.225
_cell_angle_alpha 68.75
_cell_angle_beta 94.58
_cell_angle_gamma 99.26
_space_group_name_H-M_alt 'P 1'
_space_group_IT_number 1
_space_group_name_Hall 'P 1'
loop_
_atom_site_label
_atom_site_type_symbol
_atom_site_fract_x
_atom_site_fract_y
_atom_site_fract_z
O1 O 0.740 0.059 0.126
O2 O 0.260 0.941 0.874
O3 O 0.503 0.742 0.508
O4 O 0.787 0.728 0.936
Rb1 Rb 0.000 0.000 0.500
Bi1 Bi 0.461 0.638 0.233
O5 O 0.213 0.272 0.064
O6 O 0.497 0.258 0.492
O7 O 0.086 0.711 0.240
O8 O 0.914 0.289 0.760
Os1 Os 0.000 0.000 0.000
Bi2 Bi 0.539 0.362 0.767
```

=====

(8)
Below is Rb2BiOsO6 after structural relaxation, with properties calculated at the PBE-GGA level.

Values from the calculation:
DFT total energy: -5.94 eV per atom
M_tot: 0.10 μB/atom
energy relative to the elements, uncorrected: -121.2 kJ per mole of atoms

The structure in CIF format:
```
data_Rb2BiOsO6
_cell_length_a 6.059
_cell_length_b 6.059
_cell_length_c 6.059
_cell_angle_alpha 120.00
_cell_angle_beta 120.00
_cell_angle_gamma 90.00
_space_group_name_H-M_alt 'P 1'
_space_group_IT_number 1
_space_group_name_Hall 'P 1'
loop_
_atom_site_label
_atom_site_type_symbol
_atom_site_fract_x
_atom_site_fract_y
_atom_site_fract_z
O1 O 0.777 0.224 0.000
O2 O 0.777 0.777 0.000
O3 O 0.223 0.777 0.000
O4 O 0.223 0.224 0.446
Rb1 Rb 0.250 0.750 0.500
Bi1 Bi 0.500 0.500 0.000
Os1 Os 0.000 0.000 0.000
O5 O 0.776 0.777 0.553
O6 O 0.223 0.224 0.000
Rb2 Rb 0.750 0.250 0.500
```